Material: NaAlFeF6
Method: DFT, GGA+U
State: relaxed

Cell and atoms, written as extended XYZ:
```
18
Lattice="5.2554 0.0000 0.0000 -2.6277 4.5513 0.0000 0.0000 0.0000 9.6775" Properties=species:S:1:pos:R:3 pbc="T T T"
Na 0.0000 0.0000 0.0000
Na 0.0000 0.0000 4.8387
Al 0.0000 3.0342 2.4194
Al 2.6277 1.5171 7.2581
Fe 0.0000 3.0342 7.2581
Fe 2.6277 1.5171 2.4194
F -0.8094 1.7458 1.3905
F -1.5205 2.9774 3.4482
F 0.8094 1.7458 3.4482
F -0.7111 4.3794 1.3905
F 1.9166 0.1719 6.2293
F 1.1072 1.5739 8.2870
F 1.5205 2.9774 1.3905
F 0.7111 4.3794 3.4482
F 3.3388 0.1719 8.2870
F 1.8183 2.8055 6.2293
F 4.1482 1.5739 6.2293
F 3.4371 2.8055 8.2870
```

Computed properties:
total energy: -5.35 eV/atom
crystal system: trigonal